# 1
# TaZnOs2

A relaxed structure of TaZnOs2 (PBEsol, the Alexandria database).

Calculated values
- DOS at the Fermi energy (states/eV/cell) = 4.37
- total magnetization (Bohr magnetons per cell) = 0.00
- formation enthalpy at 0 K (eV per formula unit) = 0.16
- theoretical density (g cm⁻³) = 17.67

a = 8.7800 Å, b = 2.8010 Å, c = 4.8633 Å
α = 90.00°, β = 99.96°, γ = 90.00°
With the nearest neighbours (Å) after each atom.
Space group C2/m (No. 12)
Asymmetric unit:
Ta: 0.0000 0.0000 0.0000 x2  6 Os 2.73-2.74, 2 Ta 2.80, 4 Zn 2.81
Zn: 0.0000 0.5000 0.5000 x2  6 Os 2.64-2.68, 2 Zn 2.80, 4 Ta 2.81
Os: 0.2494 0.0000 0.7327 x4  3 Zn 2.64-2.68, 6 Os 2.66-2.95, 3 Ta 2.73-2.74


# 2
# TaZn2Os

A relaxed structure of TaZn2Os (PBEsol, the Alexandria database).

Calculated values
- distance to the lowest polymorph of the same formula (meV/atom) = 194
- DOS at the Fermi energy (states/eV/cell) = 2.48
- total magnetization (Bohr magnetons per cell) = 0.00
- formation enthalpy at 0 K (eV per formula unit) = 0.91
- theoretical density (g cm⁻³) = 14.43

a = 3.2333 Å, b = 3.2333 Å, c = 5.5267 Å
α = 90.00°, β = 90.00°, γ = 90.00°
With the nearest neighbours (Å) after each atom.
Space group P4/mmm (No. 123)
Asymmetric unit:
Ta: 0.0000 0.0000 0.0000 x1  8 Zn 2.72, 2 Os 2.76
Zn: 0.5000 0.5000 0.2682 x2  1 Zn 2.56, 4 Os 2.62, 4 Ta 2.72
Os: 0.0000 0.0000 0.5000 x1  8 Zn 2.62, 2 Ta 2.76


# 3
# TaZnOs2

A relaxed structure of TaZnOs2 (PBEsol, the Alexandria database).

Calculated values
- DOS at the Fermi energy (states/eV/cell) = 3.57
- total magnetization (Bohr magnetons per cell) = 0.00
- formation enthalpy at 0 K (eV per formula unit) = -0.24
- theoretical density (g cm⁻³) = 17.81

a = 4.2597 Å, b = 4.2597 Å, c = 3.2199 Å
α = 90.00°, β = 90.00°, γ = 90.00°
With the nearest neighbours (Å) after each atom.
Space group P4/mmm (No. 123)
Asymmetric unit:
Ta: 0.0000 0.0000 0.0000 x1  8 Os 2.67
Zn: 0.5000 0.5000 0.0000 x1  8 Os 2.67
Os: 0.0000 0.5000 0.5000 x2  4 Ta 2.67, 4 Zn 2.67


# 4
# TaZn2Os

A relaxed structure of TaZn2Os (PBEsol, the Alexandria database).

Calculated values
- distance to the lowest polymorph of the same formula (meV/atom) = 0
- DOS at the Fermi energy (states/eV/cell) = 5.09
- total magnetization (Bohr magnetons per cell) = 0.00
- formation enthalpy at 0 K (eV per formula unit) = 0.13
- theoretical density (g cm⁻³) = 14.05

a = 9.2084 Å, b = 3.0789 Å, c = 4.3562 Å
α = 90.00°, β = 106.09°, γ = 90.00°
With the nearest neighbours (Å) after each atom.
Space group C2/m (No. 12)
Asymmetric unit:
Ta: 0.0000 0.0000 0.0000 x2  4 Os 2.67, 6 Zn 2.79
Zn: 0.2434 0.0000 0.7351 x4  4 Zn 2.59-2.75, 3 Os 2.68-2.82, 3 Ta 2.79
Os: 0.0000 0.5000 0.5000 x2  4 Ta 2.67, 6 Zn 2.68-2.82


# 5
# ZrTaOs2

A relaxed structure of ZrTaOs2 (PBEsol, the Alexandria database).

Calculated values
- DOS at the Fermi energy (states/eV/cell) = 4.52
- total magnetization (Bohr magnetons per cell) = 0.00
- formation enthalpy at 0 K (eV per formula unit) = -0.75
- theoretical density (g cm⁻³) = 16.48

a = 3.2028 Å, b = 4.4273 Å, c = 9.2733 Å
α = 90.00°, β = 90.00°, γ = 90.00°
With the nearest neighbours (Å) after each atom.
Space group Imm2 (No. 44)
Asymmetric unit:
Zr: 0.0000 0.0000 0.0000 x2  6 Os 2.73-2.78, 2 Ta 2.86
Ta: 0.0000 0.5000 0.2442 x2  6 Os 2.70-2.73, 2 Zr 2.86
Os: 0.0000 0.0000 0.5096 x2  2 Ta 2.70, 4 Zr 2.73, 2 Os 2.93
Os: 0.0000 0.5000 0.7453 x2  4 Ta 2.73, 2 Zr 2.78, 2 Os 2.93


# 6
# ZrTaOs2

A relaxed structure of ZrTaOs2 (PBEsol, the Alexandria database).

Calculated values
- DOS at the Fermi energy (states/eV/cell) = 9.94
- total magnetization (Bohr magnetons per cell) = 0.00
- formation enthalpy at 0 K (eV per formula unit) = 1.07
- theoretical density (g cm⁻³) = 16.48

a = 3.0980 Å, b = 4.6869 Å, c = 9.0593 Å
α = 90.00°, β = 90.00°, γ = 90.00°
With the nearest neighbours (Å) after each atom.
Space group Cmm2 (No. 35)
Asymmetric unit:
Zr: 0.0000 0.0000 0.0000 x2  2 Os 2.72, 4 Zr 2.81, 2 Ta 2.93
Ta: 0.0000 0.5000 0.7251 x2  2 Os 2.62, 4 Ta 2.81, 2 Zr 2.93
Os: 0.0000 0.0000 0.4913 x2  2 Ta 2.62, 6 Os 2.70-2.81
Os: 0.0000 0.5000 0.2467 x2  6 Os 2.70-2.81, 2 Zr 2.72


# 7
# ZrTa2Os

A relaxed structure of ZrTa2Os (PBEsol, the Alexandria database).

Calculated values
- DOS at the Fermi energy (states/eV/cell) = 3.04
- total magnetization (Bohr magnetons per cell) = 0.00
- formation enthalpy at 0 K (eV per formula unit) = -0.89
- theoretical density (g cm⁻³) = 15.34

a = 3.2054 Å, b = 3.2054 Å, c = 6.7762 Å
α = 90.00°, β = 90.00°, γ = 90.00°
With the nearest neighbours (Å) after each atom.
Space group P4mm (No. 99)
Asymmetric unit:
Zr: 0.0000 0.0000 0.0000 x1  4 Os 2.84, 4 Ta 2.91
Ta: 0.0000 0.0000 0.4779 x1  4 Os 2.74, 4 Ta 2.84
Ta: 0.5000 0.5000 0.7303 x1  4 Ta 2.84, 4 Zr 2.91
Os: 0.5000 0.5000 0.2514 x1  4 Ta 2.74, 4 Zr 2.84


# 8
# ZrTaOs2

A relaxed structure of ZrTaOs2 (PBEsol, the Alexandria database).

Calculated values
- DOS at the Fermi energy (states/eV/cell) = 5.33
- total magnetization (Bohr magnetons per cell) = 0.00
- formation enthalpy at 0 K (eV per formula unit) = -1.47
- theoretical density (g cm⁻³) = 16.57

a = 6.3150 Å, b = 6.6114 Å, c = 3.1338 Å
α = 90.00°, β = 90.00°, γ = 90.00°
With the nearest neighbours (Å) after each atom.
Space group Cmmm (No. 65)
Asymmetric unit:
Zr: 0.0000 0.0000 0.0000 x2  8 Os 2.77
Ta: 0.0000 0.5000 0.0000 x2  8 Os 2.77
Os: 0.2500 0.2500 0.5000 x4  4 Zr 2.77, 4 Ta 2.77


# 9
# Zr3TaOs

A relaxed structure of Zr3TaOs (PBEsol, the Alexandria database).

Calculated values
- DOS at the Fermi energy (states/eV/cell) = 5.96
- total magnetization (Bohr magnetons per cell) = 0.00
- formation enthalpy at 0 K (eV per formula unit) = 7.79
- theoretical density (g cm⁻³) = 9.22

a = 4.8798 Å, b = 4.8798 Å, c = 4.8798 Å
α = 90.00°, β = 90.00°, γ = 90.00°
With the nearest neighbours (Å) after each atom.
Space group Pm-3m (No. 221)
Asymmetric unit:
Zr: 0.0000 0.0000 0.5000 x3  2 Ta 2.44
Ta: 0.0000 0.0000 0.0000 x1  6 Zr 2.44
Os: 0.5000 0.5000 0.5000 x1  12 Zr 3.45


# 10
# ZrTaOs2

A relaxed structure of ZrTaOs2 (PBEsol, the Alexandria database).

Calculated values
- DOS at the Fermi energy (states/eV/cell) = 6.68
- total magnetization (Bohr magnetons per cell) = 0.00
- formation enthalpy at 0 K (eV per formula unit) = -0.21
- theoretical density (g cm⁻³) = 16.56

a = 3.1895 Å, b = 4.7150 Å, c = 8.7014 Å
α = 90.00°, β = 90.00°, γ = 90.00°
With the nearest neighbours (Å) after each atom.
Space group Immm (No. 71)
Asymmetric unit:
Zr: 0.0000 0.0000 0.0000 x2  4 Os 2.76, 4 Ta 2.85
Ta: 0.0000 0.0000 0.5000 x2  4 Os 2.64, 4 Zr 2.85
Os: 0.0000 0.5000 0.2418 x4  2 Ta 2.64, 2 Zr 2.76, 4 Os 2.85


# 11
# ZrTa2Os

A relaxed structure of ZrTa2Os (PBEsol, the Alexandria database).

Calculated values
- DOS at the Fermi energy (states/eV/cell) = 4.62
- total magnetization (Bohr magnetons per cell) = 0.00
- formation enthalpy at 0 K (eV per formula unit) = -1.05
- theoretical density (g cm⁻³) = 15.39

a = 3.2163 Å, b = 4.5534 Å, c = 9.4802 Å
α = 90.00°, β = 90.00°, γ = 90.00°
With the nearest neighbours (Å) after each atom.
Space group Immm (No. 71)
Asymmetric unit:
Zr: 0.0000 0.0000 0.0000 x2  4 Os 2.79, 4 Ta 2.95
Ta: 0.0000 0.5000 0.2386 x4  2 Os 2.78, 4 Ta 2.80, 2 Zr 2.95
Os: 0.0000 0.0000 0.5000 x2  4 Ta 2.78, 4 Zr 2.79


# 12
# ZrTaOs2

A relaxed structure of ZrTaOs2 (PBEsol, the Alexandria database).

Calculated values
- DOS at the Fermi energy (states/eV/cell) = 2.21
- total magnetization (Bohr magnetons per cell) = 0.00
- formation enthalpy at 0 K (eV per formula unit) = -0.05
- theoretical density (g cm⁻³) = 15.78

a = 3.0512 Å, b = 4.2362 Å, c = 5.3138 Å
α = 90.00°, β = 90.00°, γ = 90.00°
With the nearest neighbours (Å) after each atom.
Space group Pmm2 (No. 25)
Asymmetric unit:
Zr: 0.0000 0.0000 0.0000 x1  6 Os 2.59-2.73
Ta: 0.5000 0.5000 0.6638 x1  6 Os 2.57-2.74
Os: 0.0000 0.0000 0.5122 x1  2 Zr 2.59-2.72, 4 Ta 2.73
Os: 0.5000 0.5000 0.1482 x1  2 Ta 2.57-2.74, 4 Zr 2.73


> Which of these has the highest formation enthalpy at 0 K?

Zr3TaOs


> Which of these has the lowest DOS at the Fermi energy?

number 12